Compound: RbTb3F10
Source: the Alexandria database
Functional: meta-GGA SCAN
Structure: single point on PBEsol structure

Lattice parameters (Å, degrees): 8.187 8.187 8.187 60.00 60.00 60.00
Sites, in units of the cell vectors:
Rb: 0.250 0.250 0.250
Rb: 0.750 0.750 0.750
Tb: 0.240 0.240 0.760
Tb: 0.240 0.760 0.240
Tb: 0.240 0.760 0.760
Tb: 0.760 0.240 0.240
Tb: 0.760 0.240 0.760
Tb: 0.760 0.760 0.240
F: 0.111 0.111 0.111
F: 0.111 0.111 0.668
F: 0.111 0.668 0.111
F: 0.170 0.500 0.500
F: 0.170 0.500 0.830
F: 0.170 0.830 0.500
F: 0.332 0.889 0.889
F: 0.500 0.170 0.500
F: 0.500 0.170 0.830
F: 0.500 0.500 0.170
F: 0.500 0.500 0.830
F: 0.500 0.830 0.170
F: 0.500 0.830 0.500
F: 0.668 0.111 0.111
F: 0.830 0.170 0.500
F: 0.830 0.500 0.170
F: 0.830 0.500 0.500
F: 0.889 0.332 0.889
F: 0.889 0.889 0.332
F: 0.889 0.889 0.889

## Properties
space-group type	Fm-3m (225)
formation energy (no corrections)	-411.9	kJ/mol of atoms